[1]
{
  "formula": "RbSb2F",
  "functional": "meta-GGA SCAN",
  "state": "single point on PBEsol structure",
  "lattice": [[-0.4313, 5.3980, -1.9681], [1.7914, -1.7489, -5.1894], [-8.5896, -3.2740, 1.3367]],
  "species": ["Sb", "Sb", "Sb", "Sb", "Rb", "Rb", "F", "F"],
  "frac_coords": [[0.6250, 0.3750, 0.7500], [0.1250, 0.3750, 0.7500], [0.6250, 0.8750, 0.2500], [0.6250, 0.3750, 0.2500], [0.0000, 0.0000, 0.0000], [0.2500, 0.7500, 0.5000], [0.5000, 0.5000, 0.0000], [0.7500, 0.2500, 0.5000]],
  "spacegroup": "I4_1/amd (141)",
  "formation_energy_uncorrected_mev_per_atom": -544,
  "e_tot_ev_per_atom": -25.24
}



[2]
{
  "formula": "RbZrSbF2",
  "functional": "meta-GGA SCAN",
  "state": "single point on PBEsol structure",
  "lattice": [[-2.4559, -3.4692, -1.4153], [0.2906, -1.8635, 4.0636], [-5.3662, 3.0682, 1.7908]],
  "species": ["Sb", "Rb", "Zr", "F", "F"],
  "frac_coords": [[0.0000, 0.0000, 0.5000], [0.0000, 0.0000, 0.0000], [0.5000, 0.5000, 0.5000], [0.0000, 0.5000, 0.0000], [0.5000, 0.0000, 0.0000]],
  "spacegroup": "P4/mmm (123)",
  "formation_energy_uncorrected_mev_per_atom": -615,
  "e_tot_ev_per_atom": -19.77
}